Sm2NpAgTe5 | Alexandria via LeMat-Bulk | PBE | relaxed; V = 30.477 Å³ per atom; SG = Cmc2_1, No. 36; total magnetization = 8.0 μB/cell; formation energy from raw total energies = -0.932 eV per atom
1.0
2.1868 -9.3787 0.0000
2.1868 9.3787 0.0000
0.0000 0.0000 13.3742
Sm Np Ag Te
4 2 2 10
direct
0.1122 0.8878 0.5000 Sm
0.1264 0.8736 0.1187 Sm
0.8736 0.1264 0.6187 Sm
0.8878 0.1122 0.0000 Sm
0.1945 0.8055 0.8225 Np
0.8055 0.1945 0.3225 Np
0.4345 0.5655 0.2748 Ag
0.5655 0.4345 0.7748 Ag
0.0425 0.9575 0.8940 Te
0.2882 0.7118 0.4844 Te
0.3068 0.6932 0.1529 Te
0.3616 0.6384 0.8142 Te
0.4983 0.5017 0.5925 Te
0.5017 0.4983 0.0925 Te
0.6384 0.3616 0.3142 Te
0.6932 0.3068 0.6529 Te
0.7118 0.2882 0.9844 Te
0.9575 0.0425 0.3940 Te